# Hf2TiSn

A geometry-optimized Hf2TiSn structure (PBE-GGA, Alexandria via LeMat-Bulk).

Results
E_form, eV/atom: -0.199
N(E_F), states/eV per cell: 4.1
M_tot, μB per cell: 1.00

a = 3.6460 Å, b = 3.6460 Å, c = 6.2590 Å
α = 90.00°, β = 90.00°, γ = 90.00°
With the nearest neighbours (Å) after each atom.
Fractional positions:
1 Sn 0.5000 0.5000 0.5000  8 Hf 3.04, 2 Ti 3.13
2 Hf 0.0000 0.0000 0.2426  4 Ti 2.99, 2 Hf 3.04-3.22, 4 Sn 3.04
3 Hf 0.0000 0.0000 0.7574  4 Ti 2.99, 2 Hf 3.04-3.22, 4 Sn 3.04
4 Ti 0.5000 0.5000 0.0000  8 Hf 2.99, 2 Sn 3.13

***

# Hf2TiSn

A geometry-optimized Hf2TiSn structure (PBE-GGA, Alexandria via LeMat-Bulk).

Results
E_form, eV/atom: -0.064
N(E_F), states/eV per cell: 3.6
M_tot, μB per cell: 0.00

a = 3.1951 Å, b = 3.1951 Å, c = 9.8632 Å
α = 80.69°, β = 80.69°, γ = 60.01°
With the nearest neighbours (Å) after each atom.
Fractional positions:
1 Ti 0.4999 0.4999 0.5005  6 Hf 2.96-2.97, 6 Ti 3.20
2 Hf 0.0870 0.0870 0.7388  3 Ti 2.96, 3 Sn 3.13, 6 Hf 3.20
3 Hf 0.2465 0.2465 0.2607  3 Ti 2.97, 3 Sn 3.13, 6 Hf 3.20
4 Sn 0.6666 0.6666 0.0000  6 Hf 3.13, 6 Sn 3.20

***

# HfTi9Sn2

A geometry-optimized HfTi9Sn2 structure (PBE-GGA, Alexandria via LeMat-Bulk).

Results
E_form, eV/atom: 0.042
N(E_F), states/eV per cell: 9.3
M_tot, μB per cell: 1.43

a = 5.6623 Å, b = 5.6623 Å, c = 8.6939 Å
α = 71.00°, β = 71.00°, γ = 60.00°
With the nearest neighbours (Å) after each atom.
Fractional positions:
1 Ti 0.3329 0.3329 0.0014  6 Ti 2.55-2.60
2 Ti 0.5000 0.5000 0.5000  6 Ti 2.62
3 Ti 0.9225 0.4150 0.2476  5 Ti 2.55-2.79
4 Ti 0.6671 0.6671 0.9986  6 Ti 2.55-2.60
5 Ti 0.0775 0.5850 0.7524  5 Ti 2.55-2.79
6 Ti 0.5850 0.0775 0.7524  5 Ti 2.55-2.79
7 Ti 0.4150 0.9225 0.2476  5 Ti 2.55-2.79
8 Ti 0.4150 0.4150 0.2476  5 Ti 2.55-2.79
9 Ti 0.5850 0.5850 0.7524  5 Ti 2.55-2.79
10 Hf 0.0000 0.0000 0.0000  18 Ti 3.27-3.46, 2 Sn 3.30
11 Sn 0.1367 0.1367 0.5899  12 Ti 3.12-3.35, 1 Hf 3.30
12 Sn 0.8633 0.8633 0.4101  12 Ti 3.12-3.35, 1 Hf 3.30

***

# Hf2TiSn2

A geometry-optimized Hf2TiSn2 structure (PBE-GGA, Alexandria via LeMat-Bulk).

Results
E_form, eV/atom: 0.353
N(E_F), states/eV per cell: 5.1
M_tot, μB per cell: 1.24

a = 3.9778 Å, b = 3.9778 Å, c = 8.1267 Å
α = 75.83°, β = 75.83°, γ = 90.00°
With the nearest neighbours (Å) after each atom.
Fractional positions:
1 Ti 0.0000 0.0000 0.0000  8 Hf 3.17
2 Sn 0.2500 0.7500 0.5000  4 Sn 2.81, 4 Hf 3.09
3 Sn 0.7500 0.2500 0.5000  4 Sn 2.81, 4 Hf 3.09
4 Hf 0.4047 0.4047 0.1905  1 Hf 2.91, 4 Sn 3.09, 4 Ti 3.17
5 Hf 0.5953 0.5953 0.8095  1 Hf 2.91, 4 Sn 3.09, 4 Ti 3.17

***

# Hf3Ti9Sn2

A geometry-optimized Hf3Ti9Sn2 structure (PBE-GGA, Alexandria via LeMat-Bulk).

Results
E_form, eV/atom: -0.001
N(E_F), states/eV per cell: 18.0
M_tot, μB per cell: 1.22

a = 4.4649 Å, b = 8.1441 Å, c = 8.1441 Å
α = 93.49°, β = 74.09°, γ = 74.09°
With the nearest neighbours (Å) after each atom.
Fractional positions:
1 Ti 0.1621 0.5880 0.0879  5 Ti 2.63-2.87, 2 Sn 2.92
2 Ti 0.8379 0.4120 0.9121  5 Ti 2.63-2.87, 2 Sn 2.92
3 Ti 0.6399 0.7514 0.9687  5 Ti 2.58-2.86
4 Ti 0.1621 0.0879 0.5880  5 Ti 2.63-2.87, 2 Sn 2.92
5 Ti 0.3601 0.2486 0.0313  5 Ti 2.58-2.86
6 Ti 0.6399 0.9687 0.7514  5 Ti 2.58-2.86
7 Ti 0.8379 0.9121 0.4120  5 Ti 2.63-2.87, 2 Sn 2.92
8 Ti 0.0000 0.5000 0.5000  4 Sn 3.05, 4 Hf 3.09, 4 Ti 3.40
9 Ti 0.3601 0.0313 0.2486  5 Ti 2.58-2.86
10 Sn 0.5000 0.3251 0.6749  8 Ti 2.92-3.05, 2 Hf 2.98
11 Sn 0.5000 0.6749 0.3251  8 Ti 2.92-3.05, 2 Hf 2.98
12 Hf 0.2913 0.7087 0.7087  2 Sn 2.98, 1 Hf 2.98, 8 Ti 3.01-3.25
13 Hf 0.0000 0.0000 0.0000  8 Ti 2.95, 2 Hf 2.98
14 Hf 0.7087 0.2913 0.2913  2 Sn 2.98, 1 Hf 2.98, 8 Ti 3.01-3.25

***

# Hf8Ti3Sn2

A geometry-optimized Hf8Ti3Sn2 structure (PBE-GGA, Alexandria via LeMat-Bulk).

Results
E_form, eV/atom: 0.167
N(E_F), states/eV per cell: 9.9
M_tot, μB per cell: 0.00

a = 4.5718 Å, b = 9.1352 Å, c = 8.6405 Å
α = 121.91°, β = 90.00°, γ = 90.00°
With the nearest neighbours (Å) after each atom.
Fractional positions:
1 Sn 0.5001 0.7416 0.4833  8 Hf 2.86-3.17
2 Sn 0.4999 0.2584 0.5167  8 Hf 2.86-3.17
3 Hf 0.9999 0.3977 0.7954  5 Hf 3.00-3.19, 2 Sn 3.07, 2 Ti 3.07
4 Hf 0.5000 0.1435 0.7741  3 Ti 2.86-2.87, 2 Sn 2.92-3.17, 2 Hf 3.19
5 Hf 0.5000 0.6306 0.7741  3 Ti 2.86-2.87, 2 Sn 2.92-3.17, 2 Hf 3.19
6 Hf 0.0000 0.8591 0.7183  4 Ti 2.80-3.08, 2 Sn 2.86
7 Hf 0.0001 0.6023 0.2046  5 Hf 3.00-3.19, 2 Sn 3.07, 2 Ti 3.07
8 Hf 0.5000 0.3694 0.2259  3 Ti 2.86-2.87, 2 Sn 2.92-3.17, 2 Hf 3.19
9 Hf 0.5000 0.8565 0.2259  3 Ti 2.86-2.87, 2 Sn 2.92-3.17, 2 Hf 3.19
10 Hf 0.0000 0.1409 0.2817  4 Ti 2.80-3.08, 2 Sn 2.86
11 Ti 0.0000 0.7928 0.0000  8 Hf 2.80-3.07, 2 Ti 2.97
12 Ti 0.0000 0.2072 0.0000  8 Hf 2.80-3.07, 2 Ti 2.97
13 Ti 0.5000 0.0000 0.0000  8 Hf 2.87-3.08, 4 Ti 2.97

***

# Hf2Ti4Sn3

A geometry-optimized Hf2Ti4Sn3 structure (PBE-GGA, Alexandria via LeMat-Bulk).

Results
E_form, eV/atom: -0.084
N(E_F), states/eV per cell: 19.5
M_tot, μB per cell: 0.00

a = 5.7858 Å, b = 8.5668 Å, c = 8.1237 Å
α = 90.00°, β = 110.86°, γ = 90.00°
With the nearest neighbours (Å) after each atom.
Fractional positions:
1 Ti 0.3087 0.5120 0.6173  5 Sn 2.73-2.91, 2 Ti 2.96
2 Ti 0.1630 0.7500 0.8260  3 Sn 2.81-2.90, 4 Ti 2.89-2.96, 2 Hf 3.07
3 Ti 0.6913 0.4880 0.3827  5 Sn 2.73-2.91, 2 Ti 2.96
4 Ti 0.3370 0.2500 0.1740  3 Sn 2.81-2.90, 4 Ti 2.89-2.96, 2 Hf 3.07
5 Ti 0.8087 0.9880 0.6173  5 Sn 2.73-2.91, 2 Ti 2.96
6 Ti 0.1913 0.0120 0.3827  5 Sn 2.73-2.91, 2 Ti 2.96
7 Ti 0.6630 0.7500 0.8260  3 Sn 2.81-2.90, 4 Ti 2.89-2.96, 2 Hf 3.07
8 Ti 0.8370 0.2500 0.1740  3 Sn 2.81-2.90, 4 Ti 2.89-2.96, 2 Hf 3.07
9 Hf 0.4251 0.1160 0.8502  4 Sn 2.97-3.26, 1 Hf 3.02, 2 Ti 3.07
10 Hf 0.0749 0.6160 0.1498  4 Sn 2.97-3.26, 1 Hf 3.02, 2 Ti 3.07
11 Hf 0.9251 0.3840 0.8502  4 Sn 2.97-3.26, 1 Hf 3.02, 2 Ti 3.07
12 Hf 0.5749 0.8840 0.1498  4 Sn 2.97-3.26, 1 Hf 3.02, 2 Ti 3.07
13 Sn 0.0000 0.0000 0.0000  6 Ti 2.90-2.91
14 Sn 0.9777 0.7500 0.4554  5 Ti 2.73-2.81, 2 Sn 2.89, 2 Hf 2.97
15 Sn 0.5000 0.5000 0.0000  6 Ti 2.90-2.91
16 Sn 0.0223 0.2500 0.5446  5 Ti 2.73-2.81, 2 Sn 2.89, 2 Hf 2.97
17 Sn 0.4777 0.7500 0.4554  5 Ti 2.73-2.81, 2 Sn 2.89, 2 Hf 2.97
18 Sn 0.5223 0.2500 0.5446  5 Ti 2.73-2.81, 2 Sn 2.89, 2 Hf 2.97

***

# Hf5TiSn3

A geometry-optimized Hf5TiSn3 structure (PBE-GGA, Alexandria via LeMat-Bulk).

Results
E_form, eV/atom: 0.134
N(E_F), states/eV per cell: 19.6
M_tot, μB per cell: 4.18

a = 7.3373 Å, b = 7.3373 Å, c = 9.0891 Å
α = 113.81°, β = 113.81°, γ = 90.00°
With the nearest neighbours (Å) after each atom.
Fractional positions:
1 Hf 0.9402 0.4402 0.2767  1 Ti 2.65, 1 Sn 2.75
2 Hf 0.5000 0.5000 0.0000  4 Sn 2.89
3 Hf 0.0000 0.0000 0.0000  4 Sn 2.89
4 Hf 0.5598 0.6635 0.7233  1 Ti 2.65, 1 Sn 2.75
5 Hf 0.3365 0.8365 0.2767  1 Ti 2.65, 1 Sn 2.75
6 Hf 0.0598 0.5598 0.7233  1 Ti 2.65, 1 Sn 2.75
7 Hf 0.4402 0.3365 0.2767  1 Ti 2.65, 1 Sn 2.75
8 Hf 0.1635 0.0598 0.7233  1 Ti 2.65, 1 Sn 2.75
9 Hf 0.6635 0.1635 0.7233  1 Ti 2.65, 1 Sn 2.75
10 Hf 0.8365 0.9402 0.2767  1 Ti 2.65, 1 Sn 2.75
11 Sn 0.3726 0.8726 0.0000  1 Sn 2.64, 4 Hf 2.75-2.89
12 Sn 0.8726 0.6274 0.0000  1 Sn 2.64, 4 Hf 2.75-2.89
13 Sn 0.7500 0.7500 0.5000  8 Hf 3.13
14 Sn 0.1274 0.3726 0.0000  1 Sn 2.64, 4 Hf 2.75-2.89
15 Sn 0.6274 0.1274 0.0000  1 Sn 2.64, 4 Hf 2.75-2.89
16 Sn 0.2500 0.2500 0.5000  8 Hf 3.13
17 Ti 0.2500 0.7500 0.5000  4 Hf 2.65
18 Ti 0.7500 0.2500 0.5000  4 Hf 2.65